Record 1
GGA-PBE TlIn5S8, relaxed; total moment = 0.0 Bohr magnetons per cell; E_form (uncorrected) = -0.5420 eV/atom; space group = Cm (8); energy = -4.05 eV/atom
1.0
-0.690 9.408 2.989
-2.707 9.512 -0.354
-8.051 0.027 4.858
Tl In S
1 5 8
direct
0.466 0.466 0.481 Tl
0.715 0.715 0.663 In
0.283 0.283 0.334 In
0.358 0.358 0.900 In
0.641 0.641 0.104 In
0.001 0.001 0.999 In
0.241 0.241 0.844 S
0.760 0.760 0.154 S
0.588 0.588 0.882 S
0.414 0.414 0.120 S
0.167 0.167 0.528 S
0.836 0.836 0.469 S
0.934 0.934 0.779 S
0.065 0.065 0.223 S



Record 2
GGA-PBE TlInS2, relaxed; total moment = 0.0 Bohr magnetons per cell; E_form (uncorrected) = -0.5034 eV/atom; space group = I-42d (122); energy = -3.84 eV/atom
1.0
-2.662 0.774 6.718
-4.378 -5.701 -1.077
-0.331 -5.211 4.401
Tl S In
2 4 2
direct
0.000 0.000 0.000 Tl
0.750 0.250 0.500 Tl
0.552 0.125 0.250 S
0.198 0.625 0.250 S
0.375 0.448 0.750 S
0.875 0.802 0.750 S
0.500 0.500 0.000 In
0.250 0.750 0.500 In



Record 3
GGA-PBE TlInS6, relaxed; total moment = 0.0 Bohr magnetons per cell; E_form (uncorrected) = -0.0871 eV/atom; space group = P-1 (2); energy = -3.82 eV/atom
1.0
-2.974 3.169 -2.018
4.135 -6.023 -14.254
-0.947 -2.475 7.527
Tl In S
1 1 6
direct
0.500 0.500 0.500 Tl
0.000 0.000 0.000 In
0.618 0.024 0.386 S
0.866 0.787 0.362 S
0.064 0.660 0.294 S
0.134 0.213 0.638 S
0.382 0.976 0.614 S
0.936 0.340 0.706 S



Record 4
GGA-PBE TlInS4, relaxed; total moment = 0.0 Bohr magnetons per cell; E_form (uncorrected) = 0.0343 eV/atom; polymorph energy (0 for the lowest one) = 137 meV per atom; space group = C2/m (12); energy = -3.57 eV/atom
1.0
3.884 0.000 0.000
0.000 6.845 0.163
0.000 0.065 9.839
Tl In S
2 2 8
direct
0.500 0.500 0.500 Tl
0.000 0.000 0.000 Tl
0.000 0.000 0.500 In
0.500 0.500 0.000 In
0.500 0.168 0.359 S
0.000 0.332 0.141 S
0.500 0.832 0.641 S
0.000 0.668 0.859 S
0.000 0.682 0.343 S
0.500 0.818 0.157 S
0.000 0.318 0.657 S
0.500 0.182 0.843 S



Record 5
GGA-PBE Tl3InS3, relaxed; total moment = 0.0 Bohr magnetons per cell; E_form (uncorrected) = -0.4323 eV/atom; polymorph energy (0 for the lowest one) = 0 meV per atom; space group = P2_1/c (14); energy = -3.61 eV/atom
1.0
-0.080 -3.071 -7.802
4.032 -6.658 2.579
-11.439 -5.533 2.295
Tl In S
12 4 12
direct
0.949 0.925 0.856 Tl
0.551 0.925 0.356 Tl
0.274 0.661 0.663 Tl
0.669 0.670 0.596 Tl
0.226 0.661 0.163 Tl
0.831 0.670 0.096 Tl
0.169 0.330 0.904 Tl
0.774 0.339 0.837 Tl
0.331 0.330 0.404 Tl
0.726 0.339 0.337 Tl
0.449 0.075 0.644 Tl
0.051 0.075 0.144 Tl
0.465 0.826 0.923 In
0.035 0.826 0.423 In
0.965 0.174 0.577 In
0.535 0.174 0.077 In
0.976 0.871 0.616 S
0.524 0.871 0.116 S
0.204 0.695 0.900 S
0.296 0.695 0.400 S
0.694 0.687 0.840 S
0.806 0.687 0.340 S
0.194 0.313 0.660 S
0.306 0.313 0.160 S
0.704 0.305 0.600 S
0.796 0.305 0.100 S
0.476 0.129 0.884 S
0.024 0.129 0.384 S



Record 6
GGA-PBE TlIn3S3, relaxed; total moment = 0.0 Bohr magnetons per cell; E_form (uncorrected) = -0.2576 eV/atom; space group = R-3 (148); energy = -3.54 eV/atom
1.0
9.052 0.000 0.000
4.526 7.839 0.000
4.526 2.613 5.536
Tl In S
2 6 6
direct
0.323 0.323 0.030 Tl
0.677 0.677 0.970 Tl
0.213 0.602 0.253 In
0.932 0.213 0.253 In
0.602 0.932 0.253 In
0.398 0.068 0.747 In
0.068 0.787 0.747 In
0.787 0.398 0.747 In
0.364 0.795 0.728 S
0.795 0.112 0.728 S
0.112 0.364 0.728 S
0.888 0.636 0.272 S
0.205 0.888 0.272 S
0.636 0.205 0.272 S



Record 7
GGA-PBE TlIn2S3, relaxed; total moment = 0.0 Bohr magnetons per cell; E_form (uncorrected) = -0.4131 eV/atom; space group = Pmc2_1 (26); energy = -3.78 eV/atom
1.0
3.796 0.000 0.000
0.000 7.014 0.000
0.000 0.000 11.883
Tl In S
2 4 6
direct
0.000 0.028 0.907 Tl
0.000 0.528 0.093 Tl
0.000 0.020 0.248 In
0.500 0.010 0.552 In
0.000 0.520 0.752 In
0.500 0.510 0.448 In
0.500 0.172 0.129 S
0.500 0.261 0.720 S
0.000 0.211 0.434 S
0.500 0.672 0.871 S
0.500 0.761 0.280 S
0.000 0.711 0.566 S



Record 8
GGA-PBE Tl2InS2, relaxed; total moment = 0.0 Bohr magnetons per cell; E_form (uncorrected) = -0.0232 eV/atom; polymorph energy (0 for the lowest one) = 117 meV per atom; space group = P4/mbm (127); energy = -3.17 eV/atom
1.0
-2.604 -3.923 -6.859
6.894 2.401 -3.990
1.755 -3.152 1.136
Tl S In
4 4 2
direct
0.365 0.865 0.000 Tl
0.865 0.635 0.000 Tl
0.635 0.135 0.000 Tl
0.135 0.365 0.000 Tl
0.170 0.670 0.500 S
0.670 0.830 0.500 S
0.830 0.330 0.500 S
0.330 0.170 0.500 S
0.000 0.000 0.000 In
0.500 0.500 0.000 In



Record 9
GGA-PBE TlIn5S6, relaxed; total moment = 0.0 Bohr magnetons per cell; E_form (uncorrected) = -0.5219 eV/atom; space group = P2_1/m (11); energy = -3.92 eV/atom
1.0
-1.263 0.565 3.731
-7.632 -4.181 -1.950
5.955 -16.319 4.486
Tl In S
2 10 12
direct
0.750 0.369 0.213 Tl
0.250 0.631 0.787 Tl
0.750 0.657 0.544 In
0.250 0.343 0.456 In
0.750 0.766 0.316 In
0.250 0.234 0.684 In
0.750 0.036 0.383 In
0.250 0.964 0.617 In
0.750 0.113 0.886 In
0.250 0.887 0.114 In
0.750 0.307 0.002 In
0.250 0.693 0.998 In
0.750 0.795 0.668 S
0.250 0.205 0.332 S
0.750 0.163 0.504 S
0.250 0.837 0.496 S
0.750 0.303 0.764 S
0.250 0.697 0.236 S
0.750 0.596 0.927 S
0.250 0.404 0.073 S
0.750 0.535 0.414 S
0.250 0.465 0.586 S
0.750 0.055 0.128 S
0.250 0.945 0.872 S



Record 10
GGA-PBE TlInS2, relaxed; total moment = 0.0 Bohr magnetons per cell; E_form (uncorrected) = -0.0499 eV/atom; space group = Fm-3m (225); energy = -3.39 eV/atom
1.0
0.000 3.529 3.529
3.529 0.000 3.529
3.529 3.529 0.000
Tl S In
1 2 1
direct
0.500 0.500 0.500 Tl
0.250 0.250 0.250 S
0.750 0.750 0.750 S
0.000 0.000 0.000 In



Record 11
GGA-PBE TlInS2, relaxed; total moment = 0.0 Bohr magnetons per cell; E_form (uncorrected) = -0.5148 eV/atom; space group = R3m (160); energy = -3.85 eV/atom
1.0
3.894 0.000 0.000
1.947 3.372 0.000
1.947 1.124 7.535
Tl In S
1 1 2
direct
0.498 0.498 0.507 Tl
0.667 0.667 0.999 In
0.065 0.065 0.805 S
0.270 0.270 0.190 S



Record 12
GGA-PBE TlInS2, relaxed; total moment = 0.0 Bohr magnetons per cell; E_form (uncorrected) = -0.5354 eV/atom; space group = C2/c (15); energy = -3.88 eV/atom
1.0
7.884 -0.002 0.012
0.007 7.884 -0.012
-1.969 1.972 15.210
Tl S In
8 16 8
direct
0.340 0.726 0.384 Tl
0.726 0.340 0.116 Tl
0.660 0.274 0.616 Tl
0.274 0.660 0.884 Tl
0.829 0.842 0.113 Tl
0.842 0.829 0.387 Tl
0.171 0.158 0.887 Tl
0.158 0.171 0.613 Tl
0.569 0.048 0.251 S
0.048 0.569 0.249 S
0.431 0.952 0.749 S
0.952 0.431 0.751 S
0.571 0.571 0.250 S
0.429 0.429 0.750 S
0.052 0.052 0.250 S
0.948 0.948 0.750 S
0.353 0.299 0.443 S
0.299 0.353 0.057 S
0.647 0.701 0.557 S
0.701 0.647 0.943 S
0.226 0.852 0.059 S
0.852 0.226 0.441 S
0.774 0.148 0.941 S
0.148 0.774 0.559 S
0.287 0.079 0.157 In
0.079 0.287 0.343 In
0.713 0.921 0.843 In
0.921 0.713 0.657 In
0.576 0.287 0.343 In
0.287 0.576 0.157 In
0.424 0.713 0.657 In
0.713 0.424 0.843 In